<w>
Entry from the Alexandria database: a geometry-optimized LiCaBe3 structure (PBE).

abc: 5.324 5.324 5.324
angles: 90.00 90.00 90.00
Element x y z (fractional)
Li 0.000 0.000 0.000
Ca 0.500 0.500 0.500
Be 0.000 0.500 0.500
Be 0.500 0.000 0.500
Be 0.500 0.500 0.000

Output
* density of states at the Fermi level: 0.827 states/eV/atom
* magnetic moment: 0.0000 μB per atom

<x>
Entry from the Alexandria database: a geometry-optimized LiCaBe3 structure (PBE).

abc: 4.237 4.237 4.237
angles: 90.00 90.00 90.00
Element x y z (fractional)
Li 0.000 0.000 0.000
Ca 0.500 0.500 0.500
Be 0.000 0.000 0.500
Be 0.000 0.500 0.000
Be 0.500 0.000 0.000

Output
* density of states at the Fermi level: 0.410 states/eV/atom
* magnetic moment: 0.0000 μB per atom

Sorted by energy, starting with the most stable: <x>, <w>.

<w>
Entry from the Alexandria database: a geometry-optimized CaMn3Be structure (PBE).

abc: 4.697 4.697 4.697
angles: 90.00 90.00 90.00
Element x y z (fractional)
Ca 0.000 0.000 0.000
Mn 0.000 0.000 0.500
Mn 0.000 0.500 0.000
Mn 0.500 0.000 0.000
Be 0.500 0.500 0.500

Output
* density of states at the Fermi level: 0.954 states/eV/atom
* magnetic moment: 2.1172 μB per atom

<x>
Entry from the Alexandria database: a geometry-optimized CaMn3Be structure (PBE).

abc: 4.346 4.346 4.346
angles: 90.00 90.00 90.00
Element x y z (fractional)
Ca 0.000 0.000 0.000
Mn 0.000 0.500 0.500
Mn 0.500 0.000 0.500
Mn 0.500 0.500 0.000
Be 0.500 0.500 0.500

Output
* density of states at the Fermi level: 1.175 states/eV/atom
* magnetic moment: 1.8008 μB per atom

Sorted by energy, starting with the most stable: <x>, <w>.

<w>
Entry from the Alexandria database: a geometry-optimized CaBe3Mo structure (PBE).

abc: 4.325 4.325 4.325
angles: 90.00 90.00 90.00
Element x y z (fractional)
Ca 0.000 0.000 0.000
Be 0.000 0.000 0.500
Be 0.000 0.500 0.000
Be 0.500 0.000 0.000
Mo 0.500 0.500 0.500

Output
* density of states at the Fermi level: 1.123 states/eV/atom
* magnetic moment: 0.2301 μB per atom

<x>
Entry from the Alexandria database: a geometry-optimized CaBe3Mo structure (PBE).

abc: 4.450 4.450 4.450
angles: 90.00 90.00 90.00
Element x y z (fractional)
Ca 0.000 0.000 0.000
Be 0.000 0.500 0.500
Be 0.500 0.000 0.500
Be 0.500 0.500 0.000
Mo 0.500 0.500 0.500

Output
* density of states at the Fermi level: 0.680 states/eV/atom
* magnetic moment: 0.0000 μB per atom

Sorted by energy, starting with the most stable: <x>, <w>.

<w>
Entry from the Alexandria database: a geometry-optimized Ca2BeN structure (PBE).

abc: 6.160 6.160 6.160
angles: 110.67 110.67 107.10
Element x y z (fractional)
Ca 0.037 0.625 0.912
Ca 0.375 0.287 0.412
Ca 0.713 0.125 0.088
Ca 0.875 0.963 0.588
Be 0.250 0.750 0.500
Be 0.500 0.500 0.000
N 0.000 0.000 0.000
N 0.750 0.250 0.500

Output
* density of states at the Fermi level: 0.689 states/eV/atom
* magnetic moment: 0.0000 μB per atom

<x>
Entry from the Alexandria database: a geometry-optimized Ca2BeN structure (PBE).

abc: 4.647 4.647 4.647
angles: 60.00 60.00 60.00
Element x y z (fractional)
Ca 0.250 0.250 0.250
Ca 0.750 0.750 0.750
Be 0.000 0.000 0.000
N 0.500 0.500 0.500

Output
* density of states at the Fermi level: 0.792 states/eV/atom
* magnetic moment: 0.0000 μB per atom

Sorted by energy, starting with the most stable: <w>, <x>.